No. 1
Compound: La2Pm5YSc
Source: Alexandria
Functional: PBE
Structure: optimized geometry

## Properties
ρ   6.1 g cm⁻³
Energy relative to the elements   0.116 eV per atom
VASP energy   -90.7 eV for the cell shown
Crystal system   orthorhombic

a = 11.4121 Å, b = 11.4121 Å, c = 10.1651 Å
α = 90.00°, β = 90.00°, γ = 152.22°
With the nearest neighbours (Å) after each atom.
Positions (direct):
La 0.1168 0.8832 0.5067  1 Sc 3.38, 9 Pm 3.57-3.77
La 0.1168 0.8832 0.9933  1 Sc 3.38, 9 Pm 3.57-3.77
La 0.8832 0.1168 0.0067  1 Sc 3.38, 9 Pm 3.57-3.77
La 0.8832 0.1168 0.4933  1 Sc 3.38, 9 Pm 3.57-3.77
Pm 0.0002 0.9998 0.2500  2 Y 3.57, 4 La 3.58-3.67, 6 Pm 3.74-3.94
Pm 0.9998 0.0002 0.7500  2 Y 3.57, 4 La 3.58-3.67, 6 Pm 3.74-3.94
Pm 0.2760 0.7240 0.5632  2 Pm 3.24, 1 Y 3.28, 3 Sc 3.34-3.47, 1 La 3.57
Pm 0.2760 0.7240 0.9368  2 Pm 3.24, 1 Y 3.28, 3 Sc 3.34-3.47, 1 La 3.57
Pm 0.3726 0.6274 0.2500  1 Sc 3.51, 4 La 3.70, 4 Pm 3.80-3.84
Pm 0.5000 0.5000 0.0000  2 Y 3.42, 6 Pm 3.74-3.80, 4 La 3.77
Pm 0.5000 0.5000 0.5000  2 Y 3.42, 6 Pm 3.74-3.80, 4 La 3.77
Pm 0.6274 0.3726 0.7500  1 Sc 3.51, 4 La 3.70, 4 Pm 3.80-3.84
Pm 0.7240 0.2760 0.0632  2 Pm 3.24, 1 Y 3.28, 3 Sc 3.34-3.47, 1 La 3.57
Pm 0.7240 0.2760 0.4368  2 Pm 3.24, 1 Y 3.28, 3 Sc 3.34-3.47, 1 La 3.57
Y 0.3967 0.6033 0.7500  6 Pm 3.28-3.57
Y 0.6033 0.3967 0.2500  6 Pm 3.28-3.57
Sc 0.2140 0.7860 0.2500  7 Pm 3.34-3.51, 2 La 3.38, 2 Y 3.68
Sc 0.7860 0.2140 0.7500  7 Pm 3.34-3.51, 2 La 3.38, 2 Y 3.68

No. 2
Compound: LaPm4Y2Sc
Source: Alexandria
Functional: PBE
Structure: optimized geometry

## Properties
ρ   6.0 g cm⁻³
Energy relative to the elements   0.032 eV per atom
VASP energy   -42.9 eV for the cell shown
Crystal system   orthorhombic

a = 5.0659 Å, b = 5.0812 Å, c = 10.1971 Å
α = 90.00°, β = 90.00°, γ = 90.00°
With the nearest neighbours (Å) after each atom.
Positions (direct):
La 0.0000 0.0000 0.0000  8 Pm 3.58, 4 Sc 3.59
Pm 0.0000 0.5000 0.2479  2 Sc 3.58, 2 La 3.58, 4 Pm 3.59, 4 Y 3.61
Pm 0.0000 0.5000 0.7521  2 Sc 3.58, 2 La 3.58, 4 Pm 3.59, 4 Y 3.61
Pm 0.5000 0.0000 0.2483  2 La 3.58, 2 Sc 3.59, 4 Pm 3.59, 4 Y 3.61
Pm 0.5000 0.0000 0.7517  2 La 3.58, 2 Sc 3.59, 4 Pm 3.59, 4 Y 3.61
Y 0.0000 0.0000 0.5000  4 Y 3.59, 8 Pm 3.61
Y 0.5000 0.5000 0.5000  4 Y 3.59, 8 Pm 3.61
Sc 0.5000 0.5000 0.0000  8 Pm 3.58-3.59, 4 La 3.59

No. 3
Compound: LaPmY3Sc
Source: Alexandria
Functional: PBE
Structure: optimized geometry

## Properties
ρ   5.1 g cm⁻³
Energy relative to the elements   0.050 eV per atom
VASP energy   -70.2 eV for the cell shown
Crystal system   orthorhombic

a = 7.9766 Å, b = 7.9766 Å, c = 10.1070 Å
α = 90.00°, β = 90.00°, γ = 143.21°
With the nearest neighbours (Å) after each atom.
Positions (direct):
La 0.0028 0.9972 0.7500  6 Y 3.56-3.64, 2 Sc 3.56, 4 Pm 3.57
La 0.9972 0.0028 0.2500  6 Y 3.56-3.64, 2 Sc 3.56, 4 Pm 3.57
Pm 0.5000 0.5000 0.0000  4 La 3.57, 6 Y 3.58-3.62, 2 Sc 3.60
Pm 0.5000 0.5000 0.5000  4 La 3.57, 6 Y 3.58-3.62, 2 Sc 3.60
Y 0.1686 0.8314 0.5006  5 Y 3.50-3.57, 3 Sc 3.53-3.56, 2 La 3.56-3.63, 2 Pm 3.58
Y 0.1686 0.8314 0.9994  5 Y 3.50-3.57, 3 Sc 3.53-3.56, 2 La 3.56-3.63, 2 Pm 3.58
Y 0.3290 0.6710 0.7500  2 Sc 3.49, 6 Y 3.50-3.57, 2 Pm 3.62, 2 La 3.64
Y 0.6710 0.3290 0.2500  2 Sc 3.49, 6 Y 3.50-3.57, 2 Pm 3.62, 2 La 3.64
Y 0.8314 0.1686 0.0006  5 Y 3.50-3.57, 3 Sc 3.53-3.56, 2 La 3.56-3.63, 2 Pm 3.58
Y 0.8314 0.1686 0.4994  5 Y 3.50-3.57, 3 Sc 3.53-3.56, 2 La 3.56-3.63, 2 Pm 3.58
Sc 0.3306 0.6694 0.2500  8 Y 3.49-3.56, 2 La 3.56, 2 Pm 3.60
Sc 0.6694 0.3306 0.7500  8 Y 3.49-3.56, 2 La 3.56, 2 Pm 3.60

No. 4
Compound: La2Pm6Y3Sc
Source: Alexandria
Functional: PBE
Structure: optimized geometry

## Properties
ρ   6.1 g cm⁻³
Energy relative to the elements   0.028 eV per atom
VASP energy   -63.7 eV for the cell shown
Crystal system   monoclinic

a = 6.2654 Å, b = 6.2654 Å, c = 11.9683 Å
α = 95.04°, β = 95.04°, γ = 120.02°
With the nearest neighbours (Å) after each atom.
Positions (direct):
La 0.1667 0.8333 0.0000  3 La 3.62, 3 Sc 3.62, 6 Pm 3.63-3.64
La 0.8333 0.1667 0.0000  3 La 3.62, 3 Sc 3.62, 6 Pm 3.63-3.64
Pm 0.0881 0.4171 0.7486  6 Pm 3.57-3.64, 3 Y 3.59-3.62, 1 Sc 3.61, 2 La 3.63-3.64
Pm 0.2534 0.2534 0.2518  6 Pm 3.57-3.64, 3 Y 3.58-3.61, 1 Sc 3.62, 2 La 3.63
Pm 0.4171 0.0881 0.7486  6 Pm 3.57-3.64, 3 Y 3.59-3.62, 1 Sc 3.61, 2 La 3.63-3.64
Pm 0.5829 0.9119 0.2514  6 Pm 3.57-3.64, 3 Y 3.59-3.62, 1 Sc 3.61, 2 La 3.63-3.64
Pm 0.7466 0.7466 0.7482  6 Pm 3.57-3.64, 3 Y 3.58-3.61, 1 Sc 3.62, 2 La 3.63
Pm 0.9119 0.5829 0.2514  6 Pm 3.57-3.64, 3 Y 3.59-3.62, 1 Sc 3.61, 2 La 3.63-3.64
Y 0.0000 0.0000 0.5000  6 Pm 3.59-3.61, 6 Y 3.61-3.62
Y 0.3338 0.6662 0.5000  6 Pm 3.58-3.62, 6 Y 3.61-3.62
Y 0.6662 0.3338 0.5000  6 Pm 3.58-3.62, 6 Y 3.61-3.62
Sc 0.5000 0.5000 0.0000  6 Pm 3.61-3.62, 6 La 3.62

No. 5
Compound: La5PmY2Sc
Source: Alexandria
Functional: PBE
Structure: optimized geometry

## Properties
ρ   5.6 g cm⁻³
Energy relative to the elements   0.300 eV per atom
VASP energy   -91.9 eV for the cell shown
Crystal system   tetragonal

a = 9.1709 Å, b = 9.1709 Å, c = 7.5332 Å
α = 90.00°, β = 90.00°, γ = 90.00°
With the nearest neighbours (Å) after each atom.
Positions (direct):
La 0.0000 0.0000 0.0000  4 Y 3.70, 2 Pm 3.77, 8 La 3.93
La 0.2061 0.2939 0.2837  1 Sc 3.13, 1 Y 3.17, 1 La 3.26
La 0.2061 0.2939 0.7163  1 Sc 3.13, 1 Y 3.17, 1 La 3.26
La 0.2939 0.7939 0.2837  1 Sc 3.13, 1 Y 3.17, 1 La 3.26
La 0.2939 0.7939 0.7163  1 Sc 3.13, 1 Y 3.17, 1 La 3.26
La 0.5000 0.5000 0.0000  4 Y 3.70, 2 Pm 3.77, 8 La 3.93
La 0.7061 0.2061 0.2837  1 Sc 3.13, 1 Y 3.17, 1 La 3.26
La 0.7061 0.2061 0.7163  1 Sc 3.13, 1 Y 3.17, 1 La 3.26
La 0.7939 0.7061 0.2837  1 Sc 3.13, 1 Y 3.17, 1 La 3.26
La 0.7939 0.7061 0.7163  1 Sc 3.13, 1 Y 3.17, 1 La 3.26
Pm 0.0000 0.0000 0.5000  10 La 3.67-3.77
Pm 0.5000 0.5000 0.5000  10 La 3.67-3.77
Y 0.1132 0.6132 0.0000  1 Y 2.94, 2 La 3.17
Y 0.3868 0.1132 0.0000  1 Y 2.94, 2 La 3.17
Y 0.6132 0.8868 0.0000  1 Y 2.94, 2 La 3.17
Y 0.8868 0.3868 0.0000  1 Y 2.94, 2 La 3.17
Sc 0.0000 0.5000 0.5000  4 La 3.13
Sc 0.5000 0.0000 0.5000  4 La 3.13

No. 6
Compound: La2PmY4Sc
Source: Alexandria
Functional: PBE
Structure: optimized geometry

## Properties
ρ   5.1 g cm⁻³
Energy relative to the elements   0.397 eV per atom
VASP energy   -87.2 eV for the cell shown
Crystal system   monoclinic

a = 9.5207 Å, b = 9.5207 Å, c = 6.8176 Å
α = 110.97°, β = 110.97°, γ = 87.97°
With the nearest neighbours (Å) after each atom.
Positions (direct):
La 0.0000 0.0000 0.0000  2 La 3.41, 6 Y 3.52-3.62
La 0.0000 0.0000 0.5000  2 La 3.41, 6 Y 3.52-3.62
La 0.0000 0.5000 0.0000  6 Y 3.32-3.44, 2 Pm 3.41
La 0.5000 0.0000 0.5000  6 Y 3.32-3.44, 2 Pm 3.41
Pm 0.0000 0.5000 0.5000  6 Y 3.31-3.43, 2 La 3.41
Pm 0.5000 0.0000 0.0000  6 Y 3.31-3.43, 2 La 3.41
Y 0.2661 0.7340 0.5015  1 Sc 3.09, 2 Y 3.39-3.43, 2 Pm 3.43, 2 La 3.44
Y 0.2660 0.7339 0.9985  1 Sc 3.09, 2 Y 3.39-3.43, 2 Pm 3.43, 2 La 3.44
Y 0.2684 0.2691 0.5196  2 Sc 3.23-3.24, 1 Pm 3.31, 2 La 3.32-3.62, 2 Y 3.41
Y 0.2691 0.2684 0.0196  2 Sc 3.23-3.24, 1 Pm 3.31, 2 La 3.32-3.62, 2 Y 3.41
Y 0.7309 0.7316 0.9804  2 Sc 3.23-3.24, 1 Pm 3.31, 2 La 3.32-3.62, 2 Y 3.41
Y 0.7316 0.7309 0.4804  2 Sc 3.23-3.24, 1 Pm 3.31, 2 La 3.32-3.62, 2 Y 3.41
Y 0.7340 0.2661 0.0015  1 Sc 3.09, 2 Y 3.39-3.43, 2 Pm 3.43, 2 La 3.44
Y 0.7339 0.2660 0.4985  1 Sc 3.09, 2 Y 3.39-3.43, 2 Pm 3.43, 2 La 3.44
Sc 0.5000 0.5000 0.0000  6 Y 3.09-3.24, 2 Sc 3.41
Sc 0.5000 0.5000 0.5000  6 Y 3.09-3.24, 2 Sc 3.41

No. 7
Compound: La4Pm2YSc
Source: Alexandria
Functional: PBE
Structure: optimized geometry

## Properties
ρ   6.0 g cm⁻³
Energy relative to the elements   0.024 eV per atom
VASP energy   -41.8 eV for the cell shown
Crystal system   orthorhombic

a = 5.1725 Å, b = 5.2115 Å, c = 10.0905 Å
α = 90.00°, β = 90.00°, γ = 90.00°
With the nearest neighbours (Å) after each atom.
Positions (direct):
La 0.0000 0.0000 0.2447  2 Sc 3.58, 4 Pm 3.59-3.65, 2 Y 3.66, 4 La 3.67
La 0.0000 0.0000 0.7553  2 Sc 3.58, 4 Pm 3.59-3.65, 2 Y 3.66, 4 La 3.67
La 0.5000 0.5000 0.2451  4 Pm 3.58-3.66, 2 Sc 3.59, 2 Y 3.65, 4 La 3.67
La 0.5000 0.5000 0.7549  4 Pm 3.58-3.66, 2 Sc 3.59, 2 Y 3.65, 4 La 3.67
Pm 0.0000 0.5000 0.0000  8 La 3.58-3.59, 4 Sc 3.67
Pm 0.5000 0.0000 0.5000  8 La 3.65-3.66, 4 Y 3.67
Y 0.0000 0.5000 0.5000  8 La 3.65-3.66, 4 Pm 3.67
Sc 0.5000 0.0000 0.0000  8 La 3.58-3.59, 4 Pm 3.67

No. 8
Compound: LaPm2Y5Sc
Source: Alexandria
Functional: PBE
Structure: optimized geometry

## Properties
ρ   5.1 g cm⁻³
Energy relative to the elements   0.145 eV per atom
VASP energy   -103.6 eV for the cell shown
Crystal system   orthorhombic

a = 11.1974 Å, b = 11.1974 Å, c = 10.1161 Å
α = 90.00°, β = 90.00°, γ = 151.96°
With the nearest neighbours (Å) after each atom.
Positions (direct):
La 0.0986 0.9014 0.7500  6 Y 3.29-3.50
La 0.9014 0.0986 0.2500  6 Y 3.29-3.50
Pm 0.3826 0.6174 0.5091  1 Sc 3.37, 9 Y 3.48-3.73
Pm 0.3826 0.6174 0.9909  1 Sc 3.37, 9 Y 3.48-3.73
Pm 0.6174 0.3826 0.0091  1 Sc 3.37, 9 Y 3.48-3.73
Pm 0.6174 0.3826 0.4909  1 Sc 3.37, 9 Y 3.48-3.73
Y 0.0000 0.0000 0.0000  2 La 3.31, 4 Y 3.71
Y 0.0000 0.0000 0.5000  2 La 3.31, 4 Y 3.71
Y 0.1276 0.8724 0.2500  1 Sc 3.42, 4 Pm 3.65, 4 Y 3.75-3.78
Y 0.2224 0.7776 0.5629  2 Y 3.23, 1 La 3.29, 3 Sc 3.31-3.45, 1 Pm 3.52
Y 0.2224 0.7776 0.9371  2 Y 3.23, 1 La 3.29, 3 Sc 3.31-3.45, 1 Pm 3.52
Y 0.4971 0.5029 0.7500  4 Pm 3.48-3.70, 2 La 3.50, 6 Y 3.71-3.83
Y 0.5029 0.4971 0.2500  4 Pm 3.48-3.70, 2 La 3.50, 6 Y 3.71-3.83
Y 0.7776 0.2224 0.0629  2 Y 3.23, 1 La 3.29, 3 Sc 3.31-3.45, 1 Pm 3.52
Y 0.7776 0.2224 0.4371  2 Y 3.23, 1 La 3.29, 3 Sc 3.31-3.45, 1 Pm 3.52
Y 0.8724 0.1276 0.7500  1 Sc 3.42, 4 Pm 3.65, 4 Y 3.75-3.78
Sc 0.2850 0.7150 0.2500  7 Y 3.31-3.45, 2 Pm 3.37, 2 La 3.71
Sc 0.7150 0.2850 0.7500  7 Y 3.31-3.45, 2 Pm 3.37, 2 La 3.71